A relaxed RbHgHO crystal. Source: Alexandria, functional PBE.

Results
SG = Cm, No. 8
E = -13.17 eV per formula unit

a = 6.9472 Å, b = 6.9472 Å, c = 3.7659 Å
α = 93.82°, β = 93.82°, γ = 32.65°
With the nearest neighbours (Å) after each atom.
Positions (direct):
Rb1 0.0000 0.0000 0.0000  4 O 2.82-2.95, 2 H 2.95
Hg1 0.2598 0.2598 0.4001  2 H 2.84
H1 0.6303 0.6303 0.6684  1 O 0.97
O1 0.5733 0.5733 0.4922  1 H 0.97